[1]
Density functional theory data (PBE-GGA) for MgCr3Se after structural relaxation. Values from VASP.

ΔE to the lowest computed polymorph = 0.632 eV per atom
space group = No. 221
ΔE_f (raw) = 1528 meV/atom
DOS at the Fermi energy = 4.6 states/eV/f.u.
spin magnetization = 13.3 μB/f.u.

```
&SYSTEM
  ibrav = 0, nat = 5, ntyp = 3
/
ATOMIC_SPECIES
Mg 24.30 Mg.upf
Se 78.96 Se.upf
Cr 52.00 Cr.upf
ATOMIC_POSITIONS angstrom
Mg 0.000 0.000 0.000
Se 2.325 -3.420 1.150
Cr -0.923 -2.139 0.845
Cr 1.537 -1.251 -1.488
Cr 1.711 -0.030 1.792
CELL_PARAMETERS angstrom
-1.846 -4.277 1.691
3.073 -2.502 -2.976
3.422 -0.060 3.585
```

[2]
Density functional theory data (PBE-GGA) for Mg2CrSe after structural relaxation. Values from VASP.

space group = No. 160
ΔE_f (raw) = -15 meV/atom
DOS at the Fermi energy = 1.4 states/eV/f.u.
spin magnetization = 2.1 μB/f.u.

```
&SYSTEM
  ibrav = 0, nat = 4, ntyp = 3
/
ATOMIC_SPECIES
Mg 24.30 Mg.upf
Cr 52.00 Cr.upf
Se 78.96 Se.upf
ATOMIC_POSITIONS angstrom
Mg 6.041 1.083 0.638
Mg 0.245 0.044 0.026
Cr 19.012 3.407 2.009
Se 12.133 2.174 1.282
CELL_PARAMETERS angstrom
8.708 -0.123 -0.072
8.123 3.139 -0.072
8.123 1.456 2.782
```

[3]
Density functional theory data (PBE-GGA) for Mg2CrSe after structural relaxation. Values from VASP.

space group = No. 99
ΔE_f (raw) = -29 meV/atom
DOS at the Fermi energy = 2.3 states/eV/f.u.
spin magnetization = 1.4 μB/f.u.

```
&SYSTEM
  ibrav = 0, nat = 4, ntyp = 3
/
ATOMIC_SPECIES
Se 78.96 Se.upf
Cr 52.00 Cr.upf
Mg 24.30 Mg.upf
ATOMIC_POSITIONS angstrom
Se 0.000 0.000 4.235
Cr 1.580 1.574 5.327
Mg 1.580 1.574 2.048
Mg 0.000 0.000 7.242
CELL_PARAMETERS angstrom
3.154 -0.005 0.000
0.005 3.154 0.000
0.000 0.000 7.541
```

[4]
Density functional theory data (PBE-GGA) for MgCr2Se after structural relaxation. Values from VASP.

ΔE to the lowest computed polymorph = 0.278 eV per atom
space group = No. 139
ΔE_f (raw) = 379 meV/atom
DOS at the Fermi energy = 3.2 states/eV/f.u.
spin magnetization = 7.9 μB/f.u.

```
&SYSTEM
  ibrav = 0, nat = 4, ntyp = 3
/
ATOMIC_SPECIES
Se 78.96 Se.upf
Mg 24.30 Mg.upf
Cr 52.00 Cr.upf
ATOMIC_POSITIONS angstrom
Se -2.625 -0.970 1.036
Mg -0.225 -2.138 2.069
Cr -2.065 -3.842 0.452
Cr 0.000 0.000 0.000
CELL_PARAMETERS angstrom
-4.465 -2.674 -0.581
0.336 -5.011 1.485
1.280 4.576 2.202
```

[5]
Density functional theory data (PBE-GGA) for MgCrSe2 after structural relaxation. Values from VASP.

space group = No. 122
ΔE_f (raw) = -644 meV/atom
DOS at the Fermi energy = 2.1 states/eV/f.u.
spin magnetization = 4.0 μB/f.u.

```
&SYSTEM
  ibrav = 0, nat = 8, ntyp = 3
/
ATOMIC_SPECIES
Mg 24.30 Mg.upf
Se 78.96 Se.upf
Cr 52.00 Cr.upf
ATOMIC_POSITIONS angstrom
Mg -0.232 -7.213 0.340
Mg -1.615 -3.474 1.627
Se -0.076 -10.735 3.755
Se -0.747 -4.786 -0.447
Se 1.603 -7.139 2.184
Se 0.180 -3.489 3.512
Cr 0.712 -5.862 4.162
Cr 0.000 0.000 0.000
CELL_PARAMETERS angstrom
-0.670 -2.124 5.449
-2.559 -4.825 -2.195
3.709 -6.126 1.248
```

[6]
Density functional theory data (PBE-GGA) for Mg4CrSe after structural relaxation. Values from VASP.

space group = No. 216
ΔE_f (raw) = 315 meV/atom
DOS at the Fermi energy = 3.4 states/eV/f.u.
spin magnetization = 4.5 μB/f.u.

```
&SYSTEM
  ibrav = 0, nat = 6, ntyp = 3
/
ATOMIC_SPECIES
Mg 24.30 Mg.upf
Se 78.96 Se.upf
Cr 52.00 Cr.upf
ATOMIC_POSITIONS angstrom
Mg 3.044 5.077 5.077
Mg 5.077 5.077 3.044
Mg 3.044 3.044 3.044
Mg 5.077 3.044 5.077
Se 6.091 6.091 6.091
Cr 0.000 0.000 0.000
CELL_PARAMETERS angstrom
0.000 4.061 4.061
4.061 0.000 4.061
4.061 4.061 0.000
```

[7]
Density functional theory data (PBE-GGA) for MgCr2Se after structural relaxation. Values from VASP.

ΔE to the lowest computed polymorph = 0.423 eV per atom
space group = No. 225
ΔE_f (raw) = 524 meV/atom
DOS at the Fermi energy = 2.6 states/eV/f.u.
spin magnetization = 4.9 μB/f.u.

```
&SYSTEM
  ibrav = 0, nat = 4, ntyp = 3
/
ATOMIC_SPECIES
Cr 52.00 Cr.upf
Se 78.96 Se.upf
Mg 24.30 Mg.upf
ATOMIC_POSITIONS angstrom
Cr 1.561 1.561 1.561
Cr 4.683 4.683 4.683
Se 3.122 3.122 3.122
Mg 0.000 0.000 0.000
CELL_PARAMETERS angstrom
0.000 3.122 3.122
3.122 0.000 3.122
3.122 3.122 0.000
```

[8]
Density functional theory data (PBE-GGA) for MgCrSe2 after structural relaxation. Values from VASP.

space group = No. 44
ΔE_f (raw) = -560 meV/atom
DOS at the Fermi energy = 0.9 states/eV/f.u.
spin magnetization = 4.0 μB/f.u.

```
&SYSTEM
  ibrav = 0, nat = 4, ntyp = 3
/
ATOMIC_SPECIES
Se 78.96 Se.upf
Mg 24.30 Mg.upf
Cr 52.00 Cr.upf
ATOMIC_POSITIONS angstrom
Se 11.498 4.388 0.000
Se 2.910 -0.281 1.226
Mg 3.022 2.454 1.288
Cr 6.467 2.468 0.000
CELL_PARAMETERS angstrom
6.863 -0.072 -0.062
5.070 4.626 0.062
-5.937 -2.356 2.514
```

[9]
Density functional theory data (PBE-GGA) for MgCr3Se after structural relaxation. Values from VASP.

ΔE to the lowest computed polymorph = 0.000 eV per atom
space group = No. 221
ΔE_f (raw) = 896 meV/atom
DOS at the Fermi energy = 6.4 states/eV/f.u.
spin magnetization = 0.3 μB/f.u.

```
&SYSTEM
  ibrav = 0, nat = 5, ntyp = 3
/
ATOMIC_SPECIES
Cr 52.00 Cr.upf
Se 78.96 Se.upf
Mg 24.30 Mg.upf
ATOMIC_POSITIONS angstrom
Cr 0.000 2.202 0.000
Cr 0.000 0.000 2.202
Cr 2.202 0.000 0.000
Se 0.000 0.000 0.000
Mg 2.202 2.202 2.202
CELL_PARAMETERS angstrom
4.403 0.000 0.000
0.000 4.403 0.000
0.000 0.000 4.403
```

[10]
Density functional theory data (PBE-GGA) for MgCr2Se after structural relaxation. Values from VASP.

ΔE to the lowest computed polymorph = 0.000 eV per atom
space group = No. 25
ΔE_f (raw) = 100 meV/atom
DOS at the Fermi energy = 1.9 states/eV/f.u.
spin magnetization = 0.2 μB/f.u.

```
&SYSTEM
  ibrav = 0, nat = 4, ntyp = 3
/
ATOMIC_SPECIES
Cr 52.00 Cr.upf
Mg 24.30 Mg.upf
Se 78.96 Se.upf
ATOMIC_POSITIONS angstrom
Cr 1.935 1.288 0.640
Cr 0.000 3.005 0.490
Mg 0.000 1.292 2.916
Se 1.935 3.010 4.124
CELL_PARAMETERS angstrom
3.870 0.000 0.000
0.000 3.433 -0.005
0.000 0.008 5.454
```

[11]
Density functional theory data (PBE-GGA) for MgCr5Se8 after structural relaxation. Values from VASP.

space group = No. 216
ΔE_f (raw) = -594 meV/atom
DOS at the Fermi energy = 6.3 states/eV/f.u.
spin magnetization = 16.0 μB/f.u.

```
&SYSTEM
  ibrav = 0, nat = 14, ntyp = 3
/
ATOMIC_SPECIES
Se 78.96 Se.upf
Cr 52.00 Cr.upf
Mg 24.30 Mg.upf
ATOMIC_POSITIONS angstrom
Se 9.863 -8.306 3.394
Se 8.008 -10.557 1.486
Se 7.420 -6.863 0.883
Se 10.180 -11.733 3.945
Se 6.678 -6.404 4.163
Se 4.871 -8.596 2.305
Se 7.246 -10.086 4.854
Se 4.563 -5.259 1.768
Cr 7.353 -8.474 2.849
Cr 4.998 -7.200 0.184
Cr 4.172 -6.688 3.835
Cr 7.009 -4.760 2.251
Cr 0.000 0.000 0.000
Mg 2.941 -3.390 1.140
CELL_PARAMETERS angstrom
0.688 -7.435 1.197
6.366 -3.574 -1.973
4.713 -2.551 5.336
```

[12]
Density functional theory data (PBE-GGA) for MgCrSe2 after structural relaxation. Values from VASP.

space group = No. 71
ΔE_f (raw) = -444 meV/atom
DOS at the Fermi energy = 1.5 states/eV/f.u.
spin magnetization = 4.0 μB/f.u.

```
&SYSTEM
  ibrav = 0, nat = 4, ntyp = 3
/
ATOMIC_SPECIES
Se 78.96 Se.upf
Cr 52.00 Cr.upf
Mg 24.30 Mg.upf
ATOMIC_POSITIONS angstrom
Se 5.286 4.794 0.000
Se 2.712 2.460 0.000
Cr 3.563 -1.249 1.921
Mg 0.715 1.891 1.590
CELL_PARAMETERS angstrom
5.514 -0.722 0.331
-0.182 5.558 -0.331
-1.054 -4.195 3.511
```

[13]
Density functional theory data (PBE-GGA) for MgCr2Se after structural relaxation. Values from VASP.

ΔE to the lowest computed polymorph = 0.092 eV per atom
space group = No. 160
ΔE_f (raw) = 193 meV/atom
DOS at the Fermi energy = 3.1 states/eV/f.u.
spin magnetization = 0.0 μB/f.u.

```
&SYSTEM
  ibrav = 0, nat = 4, ntyp = 3
/
ATOMIC_SPECIES
Se 78.96 Se.upf
Mg 24.30 Mg.upf
Cr 52.00 Cr.upf
ATOMIC_POSITIONS angstrom
Se 17.369 3.247 1.919
Mg 11.890 2.223 1.313
Cr 23.446 4.383 2.590
Cr 6.248 1.168 0.690
CELL_PARAMETERS angstrom
8.231 -0.001 0.000
7.675 2.975 0.000
7.675 1.435 2.606
```

[14]
Density functional theory data (PBE-GGA) for Mg2CrSe after structural relaxation. Values from VASP.

space group = No. 38
ΔE_f (raw) = -121 meV/atom
DOS at the Fermi energy = 1.9 states/eV/f.u.
spin magnetization = 4.2 μB/f.u.

```
&SYSTEM
  ibrav = 0, nat = 4, ntyp = 3
/
ATOMIC_SPECIES
Se 78.96 Se.upf
Cr 52.00 Cr.upf
Mg 24.30 Mg.upf
ATOMIC_POSITIONS angstrom
Se 0.000 3.550 2.698
Cr 1.839 3.555 4.577
Mg 1.839 1.660 1.692
Mg 0.000 5.451 5.800
CELL_PARAMETERS angstrom
3.679 0.000 0.000
0.000 3.786 -0.002
0.000 1.900 5.909
```

[15]
Density functional theory data (PBE-GGA) for MgCr4Se after structural relaxation. Values from VASP.

space group = No. 216
ΔE_f (raw) = 502 meV/atom
DOS at the Fermi energy = 7.8 states/eV/f.u.
spin magnetization = 0.0 μB/f.u.

```
&SYSTEM
  ibrav = 0, nat = 6, ntyp = 3
/
ATOMIC_SPECIES
Cr 52.00 Cr.upf
Mg 24.30 Mg.upf
Se 78.96 Se.upf
ATOMIC_POSITIONS angstrom
Cr -2.648 1.086 4.926
Cr -2.148 2.710 6.660
Cr -1.753 3.262 4.329
Cr -0.341 1.634 5.447
Mg -0.861 1.086 2.670
Se 0.000 0.000 0.000
CELL_PARAMETERS angstrom
-0.800 -1.118 4.717
1.012 3.287 3.509
-3.657 2.177 2.455
```